! Nd4SnPbSe2, optimized geometry, DFT GGA-PBE; values from VASP
&SYSTEM
  ibrav = 0, nat = 8, ntyp = 4
/
ATOMIC_SPECIES
Nd 144.24 Nd.upf
Sn 118.71 Sn.upf
Pb 207.20 Pb.upf
Se 78.96 Se.upf
CELL_PARAMETERS angstrom
7.5822 0.0000 0.0000
0.0000 4.3794 0.0000
-2.5222 0.0000 7.2773
ATOMIC_POSITIONS angstrom
Nd 1.2515 0.0000 1.7284
Nd -0.0138 2.1897 5.5345
Nd 5.0738 2.1897 1.7428
Nd 3.8085 0.0000 5.5489
Sn -1.2611 0.0000 3.6386
Pb 2.5300 2.1897 3.6386
Se 0.0000 2.1897 0.0000
Se 3.7911 0.0000 0.0000
! DFT total energy: -5.4475 eV per atom
! space-group type: P2/m
! total moment: 0.00 μB/f.u.
! ΔE_f (raw): -1.2285 eV per atom
! calculated volume: 241.6 Å³ per cell

=====

! Mg2TaAu, optimized geometry, DFT GGA-PBE; values from VASP
&SYSTEM
  ibrav = 0, nat = 8, ntyp = 3
/
ATOMIC_SPECIES
Mg 24.30 Mg.upf
Ta 180.95 Ta.upf
Au 196.97 Au.upf
CELL_PARAMETERS angstrom
2.9653 0.0000 0.0000
0.0000 4.9819 0.0000
0.0000 0.0000 10.3873
ATOMIC_POSITIONS angstrom
Mg 0.0000 0.0000 0.0000
Mg 0.0000 2.4909 2.3011
Mg 1.4827 0.0000 7.4948
Mg 1.4827 2.4909 5.1937
Ta 0.0000 2.4909 7.9184
Ta 1.4827 0.0000 2.7248
Au 0.0000 0.0000 5.1264
Au 1.4827 2.4909 10.3201
! DFT total energy: -4.4630 eV per atom
! space-group type: Imm2
! total moment: 0.00 μB/f.u.
! formation energy: 0.117 eV/atom
! energy above the most stable polymorph in this dataset: 218.0 meV/atom
! calculated volume: 153.5 Å³ per cell

=====

! MgNiAs4, optimized geometry, DFT GGA-PBE; values from VASP
&SYSTEM
  ibrav = 0, nat = 6, ntyp = 3
/
ATOMIC_SPECIES
Mg 24.30 Mg.upf
Ni 58.69 Ni.upf
As 74.92 As.upf
CELL_PARAMETERS angstrom
0.0000 3.8740 3.8740
3.8740 0.0000 3.8740
3.8740 3.8740 0.0000
ATOMIC_POSITIONS angstrom
Mg 0.0000 0.0000 0.0000
Ni 5.8111 5.8111 5.8111
As 2.9101 2.9101 2.9101
As 4.8380 4.8380 2.9101
As 4.8380 2.9101 4.8380
As 2.9101 4.8380 4.8380
! DFT total energy: -3.8966 eV per atom
! space-group type: F-43m
! total moment: 0.54 μB/f.u.
! formation energy: 0.432 eV/atom
! calculated volume: 116.3 Å³ per cell

=====

! Li2Mg2Al, optimized geometry, DFT GGA-PBE; values from VASP
&SYSTEM
  ibrav = 0, nat = 10, ntyp = 3
/
ATOMIC_SPECIES
Li 6.94 Li.upf
Mg 24.30 Mg.upf
Al 26.98 Al.upf
CELL_PARAMETERS angstrom
7.6615 0.0000 0.0000
0.0000 7.6615 0.0000
0.0000 0.0000 3.3669
ATOMIC_POSITIONS angstrom
Li 1.2284 2.6024 0.0000
Li 2.6024 6.4331 0.0000
Li 5.0591 1.2284 0.0000
Li 6.4331 5.0591 0.0000
Mg 1.0724 4.9032 1.6834
Mg 2.7583 1.0724 1.6834
Mg 4.9032 6.5890 1.6834
Mg 6.5890 2.7583 1.6834
Al 0.0000 0.0000 1.6834
Al 3.8307 3.8307 1.6834
! DFT total energy: -2.0790 eV per atom
! space-group type: P4/mbm
! total moment: 0.00 μB/f.u.
! formation energy: 0.073 eV/atom
! energy above the most stable polymorph in this dataset: 154.1 meV/atom
! calculated volume: 197.6 Å³ per cell

=====

! LaTb12Y6, optimized geometry, DFT GGA-PBE; values from VASP
&SYSTEM
  ibrav = 0, nat = 19, ntyp = 3
/
ATOMIC_SPECIES
La 138.91 La.upf
Tb 158.93 Tb.upf
Y 88.91 Y.upf
CELL_PARAMETERS angstrom
6.7213 3.8806 4.2689
-6.7213 3.8806 4.2689
0.0000 -7.7611 4.2689
ATOMIC_POSITIONS angstrom
La 0.0000 0.0000 0.0000
Tb -2.5660 -4.4445 6.4034
Tb -5.1321 0.0000 6.4034
Tb -1.9212 -1.1092 4.7886
Tb 1.9212 -1.1092 4.7886
Tb 0.0000 2.2184 4.7886
Tb 2.5660 -4.4445 6.4034
Tb -2.5660 4.4445 6.4034
Tb 0.0000 -2.2183 8.0183
Tb -1.9211 1.1092 8.0183
Tb 1.9211 1.1092 8.0182
Tb 5.1321 0.0000 6.4034
Tb 2.5660 4.4445 6.4034
Y 0.0000 -4.1688 4.9066
Y -3.6103 2.0844 4.9066
Y -3.6103 -2.0844 7.9003
Y 3.6103 2.0844 4.9066
Y 3.6103 -2.0844 7.9002
Y 0.0000 4.1688 7.9002
! DFT total energy: -4.7952 eV per atom
! space-group type: R-3m
! total moment: 0.00 μB/f.u.
! formation energy: 0.430 eV/atom
! calculated volume: 668.1 Å³ per cell

=====

! Ga6Ru5Pt, optimized geometry, DFT GGA-PBE; values from VASP
&SYSTEM
  ibrav = 0, nat = 12, ntyp = 3
/
ATOMIC_SPECIES
Ga 69.72 Ga.upf
Ru 101.07 Ru.upf
Pt 195.08 Pt.upf
CELL_PARAMETERS angstrom
-2.1484 3.0424 6.4480
2.1484 -3.0424 6.4480
2.1484 3.0424 -6.4480
ATOMIC_POSITIONS angstrom
Ga 2.1484 1.4829 -2.1952
Ga 0.0000 1.4464 0.0000
Ga 2.1484 1.4829 2.1952
Ga 0.0000 1.5595 4.2528
Ga 0.0000 4.6384 0.0000
Ga 0.0000 1.5595 8.6432
Ru 2.1484 0.0000 0.0000
Ru 0.0000 0.0000 2.1869
Ru 2.1484 0.0000 4.3991
Ru 0.0000 3.0424 2.0489
Ru 0.0000 0.0000 10.7092
Pt 0.0000 0.0000 6.4480
! DFT total energy: -6.2677 eV per atom
! space-group type: Immm
! total moment: 0.00 μB/f.u.
! formation energy: -0.386 eV/atom
! calculated volume: 168.6 Å³ per cell

=====

! KMnBr2, optimized geometry, DFT GGA-PBE; values from VASP
&SYSTEM
  ibrav = 0, nat = 8, ntyp = 3
/
ATOMIC_SPECIES
K 39.10 K.upf
Mn 54.94 Mn.upf
Br 79.90 Br.upf
CELL_PARAMETERS angstrom
3.9595 0.0000 0.0000
0.0000 8.3382 0.0000
0.0000 0.0000 8.6719
ATOMIC_POSITIONS angstrom
K 0.0000 0.0000 0.0000
K 1.9798 4.1691 0.0000
Mn 0.0000 0.0000 4.3359
Mn 1.9798 4.1691 4.3359
Br 0.0000 4.1691 2.5566
Br 0.0000 4.1691 6.1153
Br 1.9798 0.0000 2.5566
Br 1.9798 0.0000 6.1153
! DFT total energy: -3.9874 eV per atom
! space-group type: Cmmm
! total moment: 4.30 μB/f.u.
! ΔE_f (raw): -0.5842 eV per atom
! energy above the most stable polymorph in this dataset: 166.5 meV/atom
! calculated volume: 286.3 Å³ per cell

=====

! Ba2CuGePd6, optimized geometry, DFT GGA-PBE; values from VASP
&SYSTEM
  ibrav = 0, nat = 10, ntyp = 4
/
ATOMIC_SPECIES
Ba 137.33 Ba.upf
Cu 63.55 Cu.upf
Ge 72.64 Ge.upf
Pd 106.42 Pd.upf
CELL_PARAMETERS angstrom
6.1482 -2.8530 0.0000
6.1482 2.8530 0.0000
-5.4815 0.0000 6.3328
ATOMIC_POSITIONS angstrom
Ba 1.8712 0.0000 1.2220
Ba 4.9437 0.0000 5.1108
Cu 6.1482 0.0000 0.0000
Ge -2.7408 0.0000 3.1664
Pd 1.9655 1.3971 4.5657
Pd -0.2819 0.0000 3.8835
Pd 4.8494 1.3971 1.7671
Pd 1.9655 -1.3971 4.5657
Pd 7.0968 0.0000 2.4493
Pd 4.8494 -1.3971 1.7671
! DFT total energy: -4.8340 eV per atom
! space-group type: C2/m
! total moment: 0.00 μB/f.u.
! formation energy: -0.462 eV/atom
! calculated volume: 222.2 Å³ per cell

=====

! BPN2F, optimized geometry, DFT GGA-PBE; values from VASP
&SYSTEM
  ibrav = 0, nat = 5, ntyp = 4
/
ATOMIC_SPECIES
B 10.81 B.upf
P 30.97 P.upf
N 14.01 N.upf
F 19.00 F.upf
CELL_PARAMETERS angstrom
3.4812 0.0000 0.0000
0.0000 3.4812 0.0000
0.0000 0.0000 3.2667
ATOMIC_POSITIONS angstrom
B 0.0000 0.0000 0.0000
P 1.7406 1.7406 1.6333
N 0.0000 1.7406 0.0000
N 1.7406 0.0000 0.0000
F 0.0000 0.0000 1.6333
! DFT total energy: -5.3424 eV per atom
! space-group type: P4/mmm
! total moment: 0.00 μB/f.u.
! ΔE_f (raw): 0.7795 eV per atom
! energy above the most stable polymorph in this dataset: 0.0 meV/atom
! calculated volume: 39.6 Å³ per cell

=====

! Sr2LiHg6, optimized geometry, DFT GGA-PBE; values from VASP
&SYSTEM
  ibrav = 0, nat = 9, ntyp = 3
/
ATOMIC_SPECIES
Sr 87.62 Sr.upf
Li 6.94 Li.upf
Hg 200.59 Hg.upf
CELL_PARAMETERS angstrom
5.9720 -3.4467 0.0000
5.9720 3.4467 0.0000
-0.0082 0.0000 5.8864
ATOMIC_POSITIONS angstrom
Sr 1.9854 0.0000 1.0778
Sr 9.9504 0.0000 4.8086
Li 5.9720 0.0000 0.0000
Hg 4.9231 1.8078 1.7742
Hg 3.8697 0.0000 4.1129
Hg 7.0127 1.8078 4.1122
Hg 4.9231 -1.8078 1.7742
Hg 8.0661 0.0000 1.7735
Hg 7.0127 -1.8078 4.1122
! DFT total energy: -1.1905 eV per atom
! space-group type: C2/m
! total moment: 0.00 μB/f.u.
! formation energy: -0.403 eV/atom
! energy above the most stable polymorph in this dataset: 0.0 meV/atom
! calculated volume: 242.3 Å³ per cell

=====

! KCu3SiSe4, optimized geometry, DFT GGA-PBE; values from VASP
&SYSTEM
  ibrav = 0, nat = 9, ntyp = 4
/
ATOMIC_SPECIES
K 39.10 K.upf
Cu 63.55 Cu.upf
Si 28.09 Si.upf
Se 78.96 Se.upf
CELL_PARAMETERS angstrom
6.1424 0.0000 0.0000
0.0000 6.1424 0.0000
0.0000 0.0000 6.1424
ATOMIC_POSITIONS angstrom
K 0.0000 0.0000 0.0000
Cu 0.0000 3.0712 3.0712
Cu 3.0712 0.0000 3.0712
Cu 3.0712 3.0712 0.0000
Si 3.0712 3.0712 3.0712
Se 1.7581 1.7581 4.3842
Se 1.7581 4.3842 1.7581
Se 4.3842 1.7581 1.7581
Se 4.3842 4.3842 4.3842
! DFT total energy: -3.9748 eV per atom
! space-group type: P-43m
! total moment: 0.00 μB/f.u.
! ΔE_f (raw): -0.3363 eV per atom
! calculated volume: 231.7 Å³ per cell